No. 1
A relaxed Cu5Hg3F12 crystal, computed with PBE.

Computed properties:
The total magnetization comes out at 16.4 Bohr magnetons per cell. The uncorrected formation energy comes out at -1.2623 eV/atom. The calculation puts the mass density at 6.551 g cm⁻³.

Lattice parameters (Å, degrees): 13.2510 13.2510 13.2510 90.00 90.00 90.00
Space group Ia-3d (No. 230)
Unique sites:
Cu (0.0000, 0.0000, 0.0000) x16
Cu (0.0000, 0.2500, 0.3750) x24
Hg (0.0000, 0.2500, 0.1250) x24
F (0.0257, 0.0519, 0.6487) x96



No. 2
A relaxed CuHgF2 crystal, computed with PBE.

Computed properties:
The value obtained for the distance to the lowest polymorph of the same formula is 110 meV per atom. The total magnetization comes out at 3.5 Bohr magnetons per cell. The uncorrected formation energy comes out at -1.0085 eV/atom. The calculation puts the mass density at 5.914 g cm⁻³.

Lattice parameters (Å, degrees): 5.9861 5.9861 9.4703 90.00 90.00 90.00
Space group I-42d (No. 122)
Unique sites:
Cu (0.0000, 0.0000, 0.0000) x4
Hg (0.0000, 0.0000, 0.5000) x4
F (0.0366, 0.2500, 0.1250) x8



No. 3
A relaxed CuHg2F3 crystal, computed with PBE.

Computed properties:
The total magnetization comes out at 1.7 Bohr magnetons per cell. The uncorrected formation energy comes out at -1.0911 eV/atom. The calculation puts the mass density at 8.730 g cm⁻³.

Lattice parameters (Å, degrees): 15.6042 4.0361 3.1595 90.00 94.16 90.00
Space group C2/m (No. 12)
Unique sites:
Cu (0.0000, 0.0000, 0.0000) x2
Hg (0.1826, 0.5000, 0.8987) x4
F (0.0000, 0.5000, 0.0000) x2
F (0.0921, 0.0000, 0.6136) x4



No. 4
A relaxed Cu2Hg2F7 crystal, computed with PBE.

Computed properties:
The value obtained for the distance to the lowest polymorph of the same formula is 46 meV per atom. The total magnetization comes out at 3.6 Bohr magnetons per cell. The uncorrected formation energy comes out at -1.3139 eV/atom. The calculation puts the mass density at 7.412 g cm⁻³.

Lattice parameters (Å, degrees): 8.6387 6.4758 5.3022 90.00 92.69 90.00
Space group C2/m (No. 12)
Unique sites:
Cu (0.2416, 0.0000, 0.0348) x4
Hg (0.0000, 0.2121, 0.5000) x4
F (0.0000, 0.0000, 0.0000) x2
F (0.0568, 0.5000, 0.7563) x4
F (0.2213, 0.2773, 0.2293) x8



No. 5
A relaxed InCuHgF6 crystal, computed with PBE.

Computed properties:
The total magnetization comes out at 0.5 Bohr magnetons per cell. The uncorrected formation energy comes out at -1.8073 eV/atom. The calculation puts the mass density at 5.890 g cm⁻³.

Lattice parameters (Å, degrees): 5.6322 5.6322 10.1177 90.00 90.00 120.00
Space group P-31c (No. 163)
Unique sites:
In (0.3333, 0.6667, 0.2500) x2
Cu (0.3333, 0.6667, 0.7500) x2
Hg (0.0000, 0.0000, 0.0000) x2
F (0.0020, 0.3580, 0.1386) x12



No. 6
A relaxed KCu2HgF crystal, computed with PBE.

Computed properties:
The total magnetization comes out at 0.0 Bohr magnetons per cell. The uncorrected formation energy comes out at -0.0037 eV/atom. The calculation puts the mass density at 5.556 g cm⁻³.

Lattice parameters (Å, degrees): 4.4344 4.4344 5.8635 90.00 90.00 90.00
Space group P4/mmm (No. 123)
Unique sites:
K (0.0000, 0.0000, 0.0000) x1
Cu (0.0000, 0.5000, 0.5000) x2
Hg (0.5000, 0.5000, 0.0000) x1
F (0.5000, 0.5000, 0.5000) x1



No. 7
A relaxed K3Cu2HgF9 crystal, computed with PBE.

Computed properties:
The total magnetization comes out at 2.0 Bohr magnetons per cell. The uncorrected formation energy comes out at -2.0482 eV/atom. The calculation puts the mass density at 4.466 g cm⁻³.

Lattice parameters (Å, degrees): 5.9473 5.9473 7.4763 90.00 90.00 120.00
Space group P-3m1 (No. 164)
Unique sites:
K (0.0000, 0.0000, 0.0000) x1
K (0.3333, 0.6667, 0.6830) x2
Cu (0.3333, 0.6667, 0.1506) x2
Hg (0.0000, 0.0000, 0.5000) x1
F (0.0000, 0.5000, 0.0000) x3
F (0.1752, 0.3504, 0.3094) x6



No. 8
A relaxed Li2CuHgF8 crystal, computed with PBE.

Computed properties:
The total magnetization comes out at 0.0 Bohr magnetons per cell. The uncorrected formation energy comes out at -1.8139 eV/atom. The calculation puts the mass density at 4.749 g cm⁻³.

Lattice parameters (Å, degrees): 4.6887 4.6900 6.9058 84.40 84.54 87.43
Space group P-1 (No. 2)
Unique sites:
Li (0.0028, 0.0041, 0.2411) x2
Cu (0.5000, 0.5000, 0.0000) x1
Hg (0.5000, 0.5000, 0.5000) x1
F (0.1756, 0.8237, 0.5001) x2
F (0.2203, 0.7784, 0.9999) x2
F (0.2888, 0.2879, 0.7493) x2
F (0.3044, 0.3029, 0.2040) x2



No. 9
A relaxed LiCuHg2F6 crystal, computed with PBE.

Computed properties:
The total magnetization comes out at 1.0 Bohr magnetons per cell. The uncorrected formation energy comes out at -1.6383 eV/atom. The calculation puts the mass density at 7.457 g cm⁻³.

Lattice parameters (Å, degrees): 5.6127 5.9812 9.5324 90.00 125.40 90.00
Space group P2_1/c (No. 14)
Unique sites:
Li (0.0000, 0.0000, 0.0000) x2
Cu (0.5000, 0.0000, 0.5000) x2
Hg (0.2257, 0.0775, 0.7482) x4
F (0.1411, 0.1875, 0.4543) x4
F (0.2331, 0.6730, 0.4369) x4
F (0.3620, 0.0348, 0.2526) x4



No. 10
A relaxed LiCuHgF6 crystal, computed with PBE.

Computed properties:
The total magnetization comes out at 4.0 Bohr magnetons per cell. The uncorrected formation energy comes out at -1.7692 eV/atom. The calculation puts the mass density at 5.556 g cm⁻³.

Lattice parameters (Å, degrees): 5.1943 5.1943 9.8515 90.00 90.00 120.00
Space group P-31c (No. 163)
Unique sites:
Li (0.3333, 0.6667, 0.2500) x2
Cu (0.3333, 0.6667, 0.7500) x2
Hg (0.0000, 0.0000, 0.0000) x2
F (0.0152, 0.3691, 0.6403) x12



No. 11
A relaxed LiCu2HgF8 crystal, computed with PBE.

Computed properties:
The total magnetization comes out at 2.0 Bohr magnetons per cell. The uncorrected formation energy comes out at -1.5996 eV/atom. The calculation puts the mass density at 5.252 g cm⁻³.

Lattice parameters (Å, degrees): 5.4165 5.4165 10.4891 90.00 90.00 90.00
Space group I-4 (No. 82)
Unique sites:
Li (0.0000, 0.0000, 0.0000) x2
Cu (0.0000, 0.0000, 0.5000) x2
Cu (0.0000, 0.5000, 0.2500) x2
Hg (0.0000, 0.5000, 0.7500) x2
F (0.1360, 0.8102, 0.2275) x8
F (0.1676, 0.2929, 0.5204) x8



No. 12
A relaxed CuHgNF2 crystal, computed with PBE.

Computed properties:
The value obtained for the distance to the lowest polymorph of the same formula is 586 meV per atom. The total magnetization comes out at 1.6 Bohr magnetons per cell. The uncorrected formation energy comes out at 0.4422 eV/atom. The calculation puts the mass density at 5.971 g cm⁻³.

Lattice parameters (Å, degrees): 4.6156 4.6156 4.1269 90.00 90.00 90.00
Space group P4/mmm (No. 123)
Unique sites:
Cu (0.0000, 0.0000, 0.0000) x1
Hg (0.5000, 0.5000, 0.5000) x1
N (0.5000, 0.5000, 0.0000) x1
F (0.0000, 0.5000, 0.5000) x2